1.
Compound: ScGaTcMo
Source: the Alexandria database
Functional: PBE
Structure: optimized geometry

The space group is F-43m (No. 216) and the conventional cell measures 6.3728, 6.3728 and 6.3728 Å, with angles of 90.00, 90.00 and 90.00 degrees. The asymmetric unit holds Sc at (0.0000, 0.0000, 0.0000), Ga at (0.2500, 0.2500, 0.2500), Tc at (0.2500, 0.2500, 0.7500) and Mo at (0.0000, 0.0000, 0.5000).

The calculation puts the mass density at 7.920 g/cm³. Its density of states at the Fermi level is 3.1 states/eV/f.u. For the formation energy, the calculation gives -0.2079 eV per atom.

2.
Compound: ScGa2TcMo
Source: the Alexandria database
Functional: PBE
Structure: optimized geometry

The space group is P4/mmm (No. 123) and the conventional cell measures 4.9081, 4.9081 and 4.4571 Å, with angles of 90.00, 90.00 and 90.00 degrees. The asymmetric unit holds Sc at (0.0000, 0.0000, 0.0000), Ga at (0.0000, 0.5000, 0.0000), Tc at (0.5000, 0.5000, 0.5000) and Mo at (0.0000, 0.0000, 0.5000).

The calculation puts the mass density at 5.851 g/cm³. Its density of states at the Fermi level is 3.6 states/eV/f.u. For the formation energy, the calculation gives 1.5783 eV per atom.

3.
Compound: ScVGaMo
Source: the Alexandria database
Functional: PBE
Structure: optimized geometry

The space group is F-43m (No. 216) and the conventional cell measures 6.3705, 6.3705 and 6.3705 Å, with angles of 90.00, 90.00 and 90.00 degrees. The asymmetric unit holds Sc at (0.0000, 0.0000, 0.0000), V at (0.0000, 0.0000, 0.5000), Ga at (0.2500, 0.2500, 0.7500) and Mo at (0.2500, 0.2500, 0.2500).

The calculation puts the mass density at 6.720 g/cm³. Its density of states at the Fermi level is 2.4 states/eV/f.u. For the formation energy, the calculation gives -0.1572 eV per atom.

4.
Compound: GaMo4Se8
Source: the Alexandria database
Functional: PBE
Structure: optimized geometry

The space group is R3m (No. 160, hexagonal axes) and the conventional cell measures 7.3289, 7.3289 and 17.6137 Å, with angles of 90.00, 90.00 and 120.00 degrees. The asymmetric unit holds Ga at (0.0000, 0.0000, 0.0000), Mo at (0.0000, 0.0000, 0.4056), Mo at (0.1981, 0.3962, 0.2005), Se at (0.0000, 0.0000, 0.1391), Se at (0.0000, 0.0000, 0.6349), Se at (0.1826, 0.3653, 0.4576) and Se at (0.1834, 0.3668, 0.9566).

The calculation puts the mass density at 6.598 g/cm³. The offset from the most stable computed form comes out at 0.000 eV/atom. Its density of states at the Fermi level is 6.1 states/eV/f.u. The formation energy from raw total energies comes out at -7.7 eV/f.u.

5.
Compound: GaMoSe3
Source: the Alexandria database
Functional: PBE
Structure: optimized geometry

The space group is Pm-3m (No. 221) and the conventional cell measures 4.9154, 4.9154 and 4.9154 Å, with angles of 90.00, 90.00 and 90.00 degrees. The asymmetric unit holds Ga at (0.0000, 0.0000, 0.0000), Mo at (0.5000, 0.5000, 0.5000) and Se at (0.0000, 0.0000, 0.5000).

The calculation puts the mass density at 5.629 g/cm³. The offset from the most stable computed form comes out at 0.712 eV/atom. Its density of states at the Fermi level is 3.2 states/eV/f.u. The formation energy from raw total energies comes out at 3.8 eV/f.u.

6.
Compound: GaMoSe3
Source: the Alexandria database
Functional: PBE
Structure: optimized geometry

The space group is Pm-3m (No. 221) and the conventional cell measures 4.9880, 4.9880 and 4.9880 Å, with angles of 90.00, 90.00 and 90.00 degrees. The asymmetric unit holds Ga at (0.0000, 0.0000, 0.0000), Mo at (0.5000, 0.5000, 0.5000) and Se at (0.0000, 0.5000, 0.5000).

The calculation puts the mass density at 5.386 g/cm³. The offset from the most stable computed form comes out at 0.000 eV/atom. Its density of states at the Fermi level is 4.3 states/eV/f.u. The formation energy from raw total energies comes out at 0.3 eV/f.u.

7.
Compound: GaMo4Se8
Source: the Alexandria database
Functional: PBE
Structure: optimized geometry

The space group is Cm (No. 8) and the conventional cell measures 15.2304, 7.0321 and 7.2605 Å, with angles of 90.00, 92.35 and 90.00 degrees. The asymmetric unit holds Ga at (0.0000, 0.0000, 0.0000), Mo at (0.0233, 0.0000, 0.6105), Mo at (0.3033, 0.5000, 0.2043), Mo at (0.4175, 0.2603, 0.6853), Se at (0.0165, 0.5000, 0.6140), Se at (0.0753, 0.0000, 0.3017), Se at (0.1419, 0.0000, 0.8430), Se at (0.1654, 0.5000, 0.0862), Se at (0.2996, 0.2614, 0.4622) and Se at (0.3825, 0.2450, 0.0175).

The calculation puts the mass density at 4.639 g/cm³. The offset from the most stable computed form comes out at 0.521 eV/atom. Its density of states at the Fermi level is 9.0 states/eV/f.u. The formation energy from raw total energies comes out at -0.9 eV/f.u.

8.
Compound: SrGa2MoSe
Source: the Alexandria database
Functional: PBE
Structure: optimized geometry

The space group is P4/mmm (No. 123) and the conventional cell measures 4.8500, 4.8500 and 6.4810 Å, with angles of 90.00, 90.00 and 90.00 degrees. The asymmetric unit holds Sr at (0.0000, 0.0000, 0.0000), Ga at (0.0000, 0.5000, 0.5000), Mo at (0.0000, 0.0000, 0.5000) and Se at (0.5000, 0.5000, 0.0000).

The calculation puts the mass density at 4.378 g/cm³. Its density of states at the Fermi level is 4.0 states/eV/f.u. The formation energy from raw total energies comes out at 1.5 eV/f.u.

9.
Compound: TlGaMo2Se
Source: the Alexandria database
Functional: PBE
Structure: optimized geometry

The space group is P4/mmm (No. 123) and the conventional cell measures 4.9336, 4.9336 and 4.9439 Å, with angles of 90.00, 90.00 and 90.00 degrees. The asymmetric unit holds Tl at (0.0000, 0.0000, 0.0000), Ga at (0.5000, 0.5000, 0.5000), Mo at (0.0000, 0.5000, 0.5000) and Se at (0.5000, 0.5000, 0.0000).

The calculation puts the mass density at 7.520 g/cm³. The offset from the most stable computed form comes out at 0.162 eV/atom. Its density of states at the Fermi level is 6.7 states/eV/f.u. The formation energy from raw total energies comes out at 6.8 eV/f.u.

10.
Compound: TlGaMo2Se
Source: the Alexandria database
Functional: PBE
Structure: optimized geometry

The space group is P4/mmm (No. 123) and the conventional cell measures 4.7504, 4.7504 and 5.7766 Å, with angles of 90.00, 90.00 and 90.00 degrees. The asymmetric unit holds Tl at (0.0000, 0.0000, 0.0000), Ga at (0.5000, 0.5000, 0.0000), Mo at (0.0000, 0.5000, 0.5000) and Se at (0.0000, 0.0000, 0.5000).

The calculation puts the mass density at 6.942 g/cm³. The offset from the most stable computed form comes out at 0.000 eV/atom. Its density of states at the Fermi level is 4.5 states/eV/f.u. The formation energy from raw total energies comes out at 6.0 eV/f.u.

11.
Compound: GaMo2WSe
Source: the Alexandria database
Functional: PBE
Structure: optimized geometry

The space group is P4/mmm (No. 123) and the conventional cell measures 4.9440, 4.9440 and 4.8003 Å, with angles of 90.00, 90.00 and 90.00 degrees. The asymmetric unit holds Ga at (0.0000, 0.0000, 0.0000), Mo at (0.0000, 0.5000, 0.5000), W at (0.5000, 0.5000, 0.5000) and Se at (0.5000, 0.5000, 0.0000).

The calculation puts the mass density at 7.422 g/cm³. Its density of states at the Fermi level is 5.8 states/eV/f.u. The formation energy from raw total energies comes out at 7.6 eV/f.u.

12.
Compound: GaSiMo3
Source: the Alexandria database
Functional: PBE
Structure: optimized geometry

The space group is P-1 (No. 2) and the conventional cell measures 5.3535, 6.9747 and 8.5741 Å, with angles of 76.76, 80.60 and 78.41 degrees. The asymmetric unit holds Ga at (0.1210, 0.1821, 0.4352), Ga at (0.3624, 0.2531, 0.1310), Si at (0.1270, 0.7353, 0.9156), Si at (0.3804, 0.2006, 0.6477), Mo at (0.0179, 0.4466, 0.8033), Mo at (0.1649, 0.9105, 0.2562), Mo at (0.2540, 0.5416, 0.4751), Mo at (0.2661, 0.0498, 0.9308), Mo at (0.3499, 0.8324, 0.6240) and Mo at (0.4796, 0.5810, 0.1732).

The calculation puts the mass density at 8.454 g/cm³. The offset from the most stable computed form comes out at 0.000 eV/atom. Its density of states at the Fermi level is 2.8 states/eV/f.u. The formation energy from raw total energies comes out at -0.3 eV/f.u.

Look up the mass density of the tenth one. 6.942 g/cm³

Which formula does entry 11 have? GaMo2WSe

Which of these has the highest mass density? GaSiMo3